A plane-wave DFT calculation with meta-GGA SCAN was carried out for a PBEsol-optimized structure of ZrFe4Ag.

Cell: 4.8127 4.8127 4.8127 Å, 60.00 60.00 60.00°
Closest atoms and distances in Å follow each position.
Sites, in units of the cell vectors:
Fe (0.8764, 0.3745, 0.3745)  6 Fe 2.40-2.42
Fe (0.3745, 0.3745, 0.8764)  6 Fe 2.40-2.42
Fe (0.3745, 0.8764, 0.3745)  6 Fe 2.40-2.42
Fe (0.3745, 0.3745, 0.3745)  6 Fe 2.40-2.42
Ag (0.0000, 0.0000, 0.0000)  12 Fe 2.82, 4 Zr 2.95
Zr (0.7500, 0.7500, 0.7500)  12 Fe 2.82, 4 Ag 2.95

Output
Calculated formation energy: -0.043 eV/atom

=====

A plane-wave DFT calculation with meta-GGA SCAN was carried out for a PBEsol-optimized structure of NdS.

Cell: 4.0139 4.0139 4.0139 Å, 60.00 60.00 60.00°
Closest atoms and distances in Å follow each position.
Sites, in units of the cell vectors:
S (0.5000, 0.5000, 0.5000)  6 Nd 2.84
Nd (0.0000, 0.0000, 0.0000)  6 S 2.84

Output
ΔE_f (raw): -2.291 eV per atom

=====

A plane-wave DFT calculation with meta-GGA SCAN was carried out for a PBEsol-optimized structure of CsScFeTc2.

Cell: 4.5475 4.5475 4.9016 Å, 90.00 90.00 90.00°
Closest atoms and distances in Å follow each position.
Sites, in units of the cell vectors:
Cs (0.5000, 0.5000, 0.5000)  4 Sc 3.22, 8 Tc 3.34
Tc (0.5000, 0.0000, 0.0000)  2 Fe 2.27
Tc (0.0000, 0.5000, 0.0000)  2 Fe 2.27
Sc (0.0000, 0.0000, 0.5000)  2 Fe 2.45
Fe (0.0000, 0.0000, 0.0000)  4 Tc 2.27, 2 Sc 2.45

Output
Calculated formation energy: 1.219 eV/atom

=====

A plane-wave DFT calculation with meta-GGA SCAN was carried out for a PBEsol-optimized structure of Ba2SrFeO6.

Cell: 5.9240 5.9240 5.9240 Å, 60.00 60.00 60.00°
Closest atoms and distances in Å follow each position.
Sites, in units of the cell vectors:
O (0.2189, 0.7811, 0.2189)  1 Fe 1.83
O (0.7811, 0.2189, 0.7811)  1 Fe 1.83
O (0.7811, 0.2189, 0.2189)  1 Fe 1.83
Ba (0.2500, 0.2500, 0.2500)  12 O 2.97
Sr (0.5000, 0.5000, 0.5000)  6 O 2.36
O (0.2189, 0.2189, 0.7811)  1 Fe 1.83
O (0.7811, 0.7811, 0.2189)  1 Fe 1.83
Fe (0.0000, 0.0000, 0.0000)  6 O 1.83
O (0.2189, 0.7811, 0.7811)  1 Fe 1.83
Ba (0.7500, 0.7500, 0.7500)  12 O 2.97

Output
ΔE_f (raw): -2.332 eV per atom

=====

A plane-wave DFT calculation with meta-GGA SCAN was carried out for a PBEsol-optimized structure of ZrIn3B.

Cell: 4.6930 4.6930 4.6930 Å, 90.00 90.00 90.00°
Closest atoms and distances in Å follow each position.
Sites, in units of the cell vectors:
In (0.5000, 0.0000, 0.0000)  2 B 2.35
Zr (0.5000, 0.5000, 0.5000)  12 In 3.32
B (0.0000, 0.0000, 0.0000)  6 In 2.35
In (0.0000, 0.0000, 0.5000)  2 B 2.35
In (0.0000, 0.5000, 0.0000)  2 B 2.35

Output
Calculated formation energy: 0.667 eV/atom

=====

A plane-wave DFT calculation with meta-GGA SCAN was carried out for a PBEsol-optimized structure of ZrSc2Ni.

Cell: 3.2916 4.7623 5.6736 Å, 114.81 106.86 90.00°
Closest atoms and distances in Å follow each position.
Sites, in units of the cell vectors:
Sc (0.7511, 0.7511, 0.5022)  4 Ni 2.89, 2 Sc 3.12, 2 Zr 3.14
Zr (0.5416, 0.0416, 0.0833)  2 Ni 2.61
Sc (0.9582, 0.4582, 0.9164)  2 Ni 2.62
Ni (0.2491, 0.2491, 0.4982)  2 Zr 2.61, 6 Sc 2.62-2.89

Output
Calculated formation energy: -0.205 eV/atom
Offset from the most stable computed form: 24 meV per atom